Record 1
{"formula": "LiSmGeTe3", "functional": "PBE", "state": "relaxed", "formation_energy_uncorrected_kcal_per_mol_atoms": -19.211, "cell": [[4.2366, 0.0000, 0.0000], [0.0000, 8.8297, 0.0287], [0.0000, -2.3028, 9.3338]], "species": ["Li", "Ge", "Te", "Te", "Te", "Te", "Sm", "Li", "Te", "Sm", "Ge", "Te"], "frac_coords": [[0.7500, 0.9054, 0.4068], [0.7500, 0.3317, 0.8540], [0.2500, 0.0962, 0.8833], [0.7500, 0.2334, 0.4889], [0.2500, 0.7666, 0.5111], [0.7500, 0.4266, 0.1567], [0.7500, 0.8151, 0.7646], [0.2500, 0.0946, 0.5932], [0.7500, 0.9038, 0.1167], [0.2500, 0.1849, 0.2354], [0.2500, 0.6683, 0.1460], [0.2500, 0.5734, 0.8433]]}

=====

Record 2
{"formula": "DyHoTe2S", "functional": "PBE", "state": "relaxed", "formation_energy_uncorrected_kcal_per_mol_atoms": -33.561, "cell": [[4.3843, 0.0000, 0.0000], [0.0000, 4.3843, 0.0000], [0.0000, 0.0000, 15.6127]], "species": ["Dy", "Te", "Te", "Ho", "Te", "Te", "Dy", "S", "Ho", "S"], "frac_coords": [[0.0000, 0.5000, 0.4000], [0.0000, 0.5000, 0.0916], [0.5000, 0.0000, 0.9084], [0.0000, 0.5000, 0.8854], [0.5000, 0.0000, 0.3000], [0.0000, 0.5000, 0.7000], [0.5000, 0.0000, 0.6000], [0.5000, 0.5000, 0.5000], [0.5000, 0.0000, 0.1146], [0.0000, 0.0000, 0.5000]]}

=====

Record 3
{"formula": "CsSn2Cl4", "functional": "PBE", "state": "relaxed", "formation_energy_uncorrected_kcal_per_mol_atoms": -25.272, "cell": [[5.0161, 0.0000, 0.0000], [-2.5080, 6.2071, 0.0000], [0.0000, 0.0000, 14.8515]], "species": ["Cl", "Sn", "Cl", "Sn", "Cs", "Sn", "Cl", "Cl", "Cl", "Cl", "Cs", "Cl", "Sn", "Cl"], "frac_coords": [[0.5000, 0.0000, 0.5000], [0.8819, 0.7639, 0.9441], [0.2362, 0.4724, 0.8998], [0.1181, 0.2361, 0.0559], [0.3690, 0.7380, 0.2500], [0.8819, 0.7639, 0.5559], [0.5000, 0.0000, 0.0000], [0.7638, 0.5276, 0.1002], [0.0618, 0.1236, 0.2500], [0.2362, 0.4724, 0.6002], [0.6310, 0.2620, 0.7500], [0.9382, 0.8764, 0.7500], [0.1181, 0.2361, 0.4441], [0.7638, 0.5276, 0.3998]]}

=====

Record 4
{"formula": "Sm2Si2Se7", "functional": "PBE", "state": "relaxed", "formation_energy_uncorrected_kcal_per_mol_atoms": -20.749, "cell": [[-2.0541, 5.5666, -1.7605], [-6.4782, -3.5389, -0.3412], [0.3551, 1.3835, 7.2503]], "species": ["Se", "Se", "Si", "Se", "Si", "Se", "Se", "Se", "Se", "Sm", "Sm"], "frac_coords": [[0.7703, 0.9170, 0.5758], [0.2297, 0.4242, 0.0830], [0.4165, 0.2288, 0.2288], [0.5000, 0.0000, 0.0000], [0.5835, 0.7712, 0.7712], [0.2297, 0.0830, 0.4242], [0.7703, 0.5758, 0.9170], [0.2685, 0.5998, 0.5998], [0.7315, 0.4002, 0.4002], [0.0000, 0.7052, 0.2948], [0.0000, 0.2948, 0.7052]]}